Entry 1:
The following is a PBE calculation of a relaxed LaMgS3 crystal, from Alexandria via LeMat-Bulk.

Cell: 7.0442 7.0442 7.0442 Å, 60.10 60.10 60.10°
Last column: nearest neighbours and their distance in Å.
Fractional positions:
La1 0.3621 0.3621 0.3621  6 S 2.85-2.89
La2 0.6379 0.6379 0.6379  6 S 2.85-2.89
Mg1 0.1515 0.1515 0.1515  6 S 2.57-2.68
Mg2 0.8485 0.8485 0.8485  6 S 2.57-2.68
S1 0.9679 0.5629 0.2109  2 Mg 2.57-2.68, 1 La 2.85
S2 0.0321 0.4371 0.7891  2 Mg 2.57-2.68, 1 La 2.85
S3 0.5629 0.2109 0.9679  2 Mg 2.57-2.68, 1 La 2.85
S4 0.4371 0.7891 0.0321  2 Mg 2.57-2.68, 1 La 2.85
S5 0.2109 0.9679 0.5629  2 Mg 2.57-2.68, 1 La 2.85
S6 0.7891 0.0321 0.4371  2 Mg 2.57-2.68, 1 La 2.85

Computed properties:
M_tot: 0.0 μB/f.u.
Fermi-level density of states: 1.3124 states/eV per atom
final energy: -5.131 eV per atom
space-group type: R-3, No. 148
formation energy from raw total energies: -6.750 eV/f.u.


Entry 2:
The following is a PBE calculation of a relaxed BaNi2Mo crystal, from Alexandria via LeMat-Bulk.

Cell: 5.0797 5.0797 5.0797 Å, 130.85 110.31 89.94°
Last column: nearest neighbours and their distance in Å.
Fractional positions:
Ba1 0.7500 0.2500 0.5000  8 Ni 3.15-3.16
Mo1 0.2500 0.7500 0.5000  4 Ni 2.46
Ni1 0.0753 0.0753 0.0000  2 Mo 2.46, 1 Ni 2.51
Ni2 0.4247 0.4247 0.0000  2 Mo 2.46, 1 Ni 2.51

Computed properties:
M_tot: 1.8 μB/f.u.
Fermi-level density of states: 1.1214 states/eV per atom
DFT formation energy: 0.839 eV per atom
final energy: -5.240 eV per atom
space-group type: Immm, No. 71


Entry 3:
The following is a PBE calculation of a relaxed ErCuSb2 crystal, from Alexandria via LeMat-Bulk.

Cell: 4.3139 4.3139 9.7101 Å, 90.00 90.00 90.00°
Last column: nearest neighbours and their distance in Å.
Fractional positions:
Sb1 0.7500 0.2500 0.0000  4 Sb 3.05, 4 Er 3.24
Sb2 0.2500 0.7500 0.0000  4 Sb 3.05, 4 Er 3.24
Sb3 0.2500 0.2500 0.6635  4 Cu 2.68
Sb4 0.7500 0.7500 0.3365  4 Cu 2.68
Cu1 0.2500 0.7500 0.5000  4 Sb 2.68
Cu2 0.7500 0.2500 0.5000  4 Sb 2.68
Er1 0.7500 0.7500 0.7503  8 Sb 3.16-3.24, 4 Cu 3.25
Er2 0.2500 0.2500 0.2497  8 Sb 3.16-3.24, 4 Cu 3.25

Computed properties:
M_tot: 0.0 μB/f.u.
Fermi-level density of states: 0.3280 states/eV per atom
final energy: -4.806 eV per atom
space-group type: P4/nmm, No. 129
formation energy from raw total energies: -2.321 eV/f.u.


Entry 4:
The following is a PBE calculation of a relaxed TmTh2ZrAs4 crystal, from Alexandria via LeMat-Bulk.

Cell: 4.1160 7.1499 7.0702 Å, 109.54 90.00 90.00°
Last column: nearest neighbours and their distance in Å.
Fractional positions:
Tm1 0.5000 0.5000 0.0000  6 As 2.85
Th1 0.5000 0.0000 0.5000  6 As 2.96
Th2 0.0000 0.5000 0.5000  6 As 2.99
Zr1 0.0000 0.0000 0.0000  6 As 2.82
As1 0.5000 0.2399 0.2303  2 Zr 2.82, 1 Tm 2.85, 3 Th 2.96-2.99
As2 0.5000 0.7601 0.7697  2 Zr 2.82, 1 Tm 2.85, 3 Th 2.96-2.99
As3 0.0000 0.2519 0.7672  1 Zr 2.82, 2 Tm 2.85, 3 Th 2.96-2.99
As4 0.0000 0.7481 0.2328  1 Zr 2.82, 2 Tm 2.85, 3 Th 2.96-2.99

Computed properties:
M_tot: 0.0 μB/f.u.
Fermi-level density of states: 0.4106 states/eV per atom
DFT formation energy: -1.335 eV per atom
final energy: -7.142 eV per atom
space-group type: P2/m, No. 10


Entry 5:
The following is a PBE calculation of a relaxed CoPdRu crystal, from Alexandria via LeMat-Bulk.

Cell: 4.6103 2.6918 13.1054 Å, 90.00 96.60 90.00°
Last column: nearest neighbours and their distance in Å.
Fractional positions:
Ru1 0.1434 0.0000 0.4799  3 Ru 2.49-2.69, 6 Co 2.51-2.72, 3 Pd 2.75
Ru2 0.1434 0.5000 0.9799  3 Ru 2.49-2.69, 6 Co 2.51-2.72, 3 Pd 2.75
Ru3 0.5275 0.0000 0.6300  3 Ru 2.49-2.69, 6 Co 2.53-2.69, 3 Pd 2.76-2.77
Ru4 0.5275 0.5000 0.1300  3 Ru 2.49-2.69, 6 Co 2.53-2.69, 3 Pd 2.76-2.77
Co1 0.0227 0.0000 0.1314  3 Co 2.48-2.69, 6 Ru 2.51-2.69, 2 Pd 2.71
Co2 0.0227 0.5000 0.6314  3 Co 2.48-2.69, 6 Ru 2.51-2.69, 2 Pd 2.71
Co3 0.6543 0.0000 0.9776  3 Co 2.48-2.69, 6 Ru 2.53-2.72, 3 Pd 2.71-2.73
Co4 0.6543 0.5000 0.4776  3 Co 2.48-2.69, 6 Ru 2.53-2.72, 3 Pd 2.71-2.73
Pd1 0.4285 0.0000 0.3068  6 Pd 2.66-2.69, 3 Co 2.71-2.79, 3 Ru 2.75-2.76
Pd2 0.4285 0.5000 0.8068  6 Pd 2.66-2.69, 3 Co 2.71-2.79, 3 Ru 2.75-2.76
Pd3 0.9292 0.0000 0.8040  6 Pd 2.66-2.69, 3 Co 2.71-2.73, 3 Ru 2.75-2.77
Pd4 0.9292 0.5000 0.3040  6 Pd 2.66-2.69, 3 Co 2.71-2.73, 3 Ru 2.75-2.77

Computed properties:
M_tot: 1.6 μB/f.u.
Fermi-level density of states: 1.3200 states/eV per atom
DFT formation energy: 0.166 eV per atom
final energy: -7.026 eV per atom
space-group type: Cm, No. 8


Entry 6:
The following is a PBE calculation of a relaxed Sc3BiH crystal, from Alexandria via LeMat-Bulk.

Cell: 4.5293 4.5293 4.5293 Å, 90.00 90.00 90.00°
Last column: nearest neighbours and their distance in Å.
Fractional positions:
Sc1 0.0000 0.5000 0.0000  2 H 2.26
Sc2 0.0000 0.0000 0.5000  2 H 2.26
Sc3 0.5000 0.0000 0.0000  2 H 2.26
H1 0.0000 0.0000 0.0000  6 Sc 2.26
Bi1 0.5000 0.5000 0.5000  12 Sc 3.20

Computed properties:
M_tot: 0.0 μB/f.u.
Fermi-level density of states: 0.8725 states/eV per atom
final energy: -5.651 eV per atom
space-group type: Pm-3m, No. 221


Entry 7:
The following is a PBE calculation of a relaxed PrGdGaRh crystal, from Alexandria via LeMat-Bulk.

Cell: 5.0936 5.0936 5.0936 Å, 60.00 60.00 60.00°
Last column: nearest neighbours and their distance in Å.
Fractional positions:
Pr1 0.2500 0.2500 0.2500  4 Ga 3.12, 4 Rh 3.12
Gd1 0.7500 0.7500 0.7500  4 Ga 3.12, 4 Rh 3.12
Rh1 0.0000 0.0000 0.0000  4 Gd 3.12, 4 Pr 3.12
Ga1 0.5000 0.5000 0.5000  4 Gd 3.12, 4 Pr 3.12

Computed properties:
M_tot: 7.1 μB/f.u.
Fermi-level density of states: 0.9214 states/eV per atom
DFT formation energy: -0.563 eV per atom
final energy: -7.873 eV per atom
space-group type: F-43m, No. 216


Entry 8:
The following is a PBE calculation of a relaxed SrSc2W crystal, from Alexandria via LeMat-Bulk.

Cell: 7.1150 7.1150 8.0577 Å, 63.80 63.80 90.00°
Last column: nearest neighbours and their distance in Å.
Fractional positions:
Sc1 0.8750 0.1250 0.2500  2 W 2.37
Sc2 0.8750 0.6250 0.2500  2 W 2.37
Sc3 0.3750 0.1250 0.7500  2 W 2.37
Sc4 0.8750 0.1250 0.7500  2 W 2.37
Sr1 0.5000 0.5000 0.0000  8 Sc 4.28, 4 W 4.75, 4 Sr 4.75
Sr2 0.2500 0.7500 0.5000  8 Sc 4.28, 4 Sr 4.75, 4 W 4.75
W1 0.0000 0.0000 0.0000  4 Sc 2.37
W2 0.7500 0.2500 0.5000  4 Sc 2.37

Computed properties:
M_tot: 0.0 μB/f.u.
Fermi-level density of states: 0.0864 states/eV per atom
DFT formation energy: 1.213 eV per atom
final energy: -5.611 eV per atom
space-group type: I4_1/amd, No. 141


Entry 9:
The following is a PBE calculation of a relaxed BeZnPt2 crystal, from Alexandria via LeMat-Bulk.

Cell: 4.3327 4.3327 2.8573 Å, 90.00 90.00 97.54°
Last column: nearest neighbours and their distance in Å.
Fractional positions:
Be1 0.0000 0.5000 0.5000  8 Pt 2.60, 2 Zn 2.86, 2 Be 2.86
Zn1 0.5000 0.0000 0.5000  8 Pt 2.60, 2 Be 2.86, 2 Zn 2.86
Pt1 0.0000 0.0000 0.0000  4 Be 2.60, 4 Zn 2.60, 4 Pt 2.86
Pt2 0.5000 0.5000 0.0000  4 Zn 2.60, 4 Be 2.60, 4 Pt 2.86

Computed properties:
M_tot: 0.0 μB/f.u.
Fermi-level density of states: 0.1884 states/eV per atom
DFT formation energy: -0.571 eV per atom
final energy: -4.842 eV per atom
space-group type: Cmmm, No. 65


Entry 10:
The following is a PBE calculation of a relaxed CoSn2GeB crystal, from Alexandria via LeMat-Bulk.

Cell: 5.5800 5.5800 3.6174 Å, 90.00 90.00 90.00°
Last column: nearest neighbours and their distance in Å.
Fractional positions:
Ge1 0.0000 0.0000 0.0000  2 B 1.81
B1 0.0000 0.0000 0.5000  2 Ge 1.81
Co1 0.5000 0.5000 0.5000  8 Sn 3.32, 2 Co 3.62
Sn1 0.0000 0.5000 0.0000  2 Ge 2.79
Sn2 0.5000 0.0000 0.0000  2 Ge 2.79

Computed properties:
M_tot: 1.7 μB/f.u.
Fermi-level density of states: 0.9675 states/eV per atom
DFT formation energy: 1.228 eV per atom
final energy: -4.054 eV per atom
space-group type: P4/mmm, No. 123


Entry 11:
The following is a PBE calculation of a relaxed Nd2Dy4Y crystal, from Alexandria via LeMat-Bulk.

Cell: 3.5585 8.8078 8.6700 Å, 119.29 101.86 89.98°
Last column: nearest neighbours and their distance in Å.
Fractional positions:
Nd1 0.0695 0.4315 0.1403  1 Nd 3.16, 1 Dy 3.35, 1 Y 3.37
Nd2 0.9305 0.5685 0.8597  1 Nd 3.16, 1 Dy 3.35, 1 Y 3.37
Dy1 0.2955 0.7072 0.5907  3 Nd 3.35-3.56, 5 Dy 3.54-3.64, 2 Y 3.59-3.60
Dy2 0.3543 0.1541 0.7084  7 Dy 3.54-3.77, 4 Nd 3.67-3.69, 2 Y 3.81
Dy3 0.7045 0.2928 0.4093  3 Nd 3.35-3.56, 5 Dy 3.54-3.64, 2 Y 3.59-3.60
Dy4 0.6457 0.8459 0.2916  7 Dy 3.54-3.77, 4 Nd 3.67-3.69, 2 Y 3.81
Y1 0.0000 0.0000 0.0000  2 Nd 3.37, 2 Y 3.56, 4 Dy 3.59-3.60

Computed properties:
M_tot: 0.0 μB/f.u.
Fermi-level density of states: 1.6350 states/eV per atom
DFT formation energy: 0.053 eV per atom
final energy: -4.862 eV per atom
space-group type: C2/m, No. 12


Entry 12:
The following is a PBE calculation of a relaxed NaNdCl crystal, from Alexandria via LeMat-Bulk.

Cell: 3.8163 3.8163 17.3371 Å, 76.61 76.61 60.02°
Last column: nearest neighbours and their distance in Å.
Fractional positions:
Na1 0.4788 0.4788 0.2489  3 Nd 3.79, 9 Na 3.82-3.89
Na2 0.2742 0.2742 0.0585  3 Nd 3.79, 9 Na 3.82-3.89
Nd1 0.6829 0.6829 0.4336  3 Cl 2.86
Nd2 0.0704 0.0704 0.8738  3 Cl 2.86
Cl1 0.2732 0.2732 0.5423  3 Nd 2.86
Cl2 0.4801 0.4801 0.7651  3 Nd 2.86

Computed properties:
M_tot: 1.0 μB/f.u.
Fermi-level density of states: 0.5125 states/eV per atom
final energy: -3.486 eV per atom
space-group type: C2/m, No. 12
formation energy from raw total energies: -2.524 eV/f.u.